No. 1
# Ca3Lu, optimized geometry, DFT PBE-GGA
# E_form: 151 meV/atom
# V: 307 Å³ per cell
# Energy above the most stable polymorph in this dataset: 0.05 eV/f.u.
# E: -2.480 eV per atom
# Crystal system: tetragonal
data_Ca3Lu
_cell_length_a 5.3657
_cell_length_b 5.3657
_cell_length_c 10.6649
_cell_angle_alpha 90.00
_cell_angle_beta 90.00
_cell_angle_gamma 90.00
_symmetry_space_group_name_H-M 'I 4/m m m'
_symmetry_Int_Tables_number 139
_symmetry_space_group_name_Hall '-I 4 2'
loop_
_atom_site_label
_atom_site_fract_x
_atom_site_fract_y
_atom_site_fract_z
Ca1 0.0000 0.0000 0.0000
Ca2 0.0000 0.5000 0.2500
Lu1 0.0000 0.0000 0.5000



No. 2
# Ca6Lu, optimized geometry, DFT PBE-GGA
# E_form: 1243 meV/atom
# V: 756 Å³ per cell
# E: -1.118 eV per atom
# Crystal system: cubic
data_Ca6Lu
_cell_length_a 9.1099
_cell_length_b 9.1099
_cell_length_c 9.1099
_cell_angle_alpha 90.00
_cell_angle_beta 90.00
_cell_angle_gamma 90.00
_symmetry_space_group_name_H-M 'I m -3 m'
_symmetry_Int_Tables_number 229
_symmetry_space_group_name_Hall '-I 4 2 3'
loop_
_atom_site_label
_atom_site_fract_x
_atom_site_fract_y
_atom_site_fract_z
Ca1 0.0000 0.2500 0.5000
Lu1 0.0000 0.0000 0.0000



No. 3
# Ca3Lu, optimized geometry, DFT PBE-GGA
# E_form: 150 meV/atom
# V: 304 Å³ per cell
# Energy above the most stable polymorph in this dataset: 0.04 eV/f.u.
# E: -2.481 eV per atom
# Crystal system: hexagonal
data_Ca3Lu
_cell_length_a 7.5187
_cell_length_b 7.5187
_cell_length_c 6.2074
_cell_angle_alpha 90.00
_cell_angle_beta 90.00
_cell_angle_gamma 120.00
_symmetry_space_group_name_H-M 'P 63/m m c'
_symmetry_Int_Tables_number 194
_symmetry_space_group_name_Hall '-P 6c 2c'
loop_
_atom_site_label
_atom_site_fract_x
_atom_site_fract_y
_atom_site_fract_z
Ca1 0.1707 0.3414 0.2500
Lu1 0.3333 0.6667 0.7500



No. 4
# Ca3Lu, optimized geometry, DFT PBE-GGA
# E_form: 151 meV/atom
# V: 154 Å³ per cell
# Energy above the most stable polymorph in this dataset: 0.05 eV/f.u.
# E: -2.481 eV per atom
# Crystal system: cubic
data_Ca3Lu
_cell_length_a 5.3567
_cell_length_b 5.3567
_cell_length_c 5.3567
_cell_angle_alpha 90.00
_cell_angle_beta 90.00
_cell_angle_gamma 90.00
_symmetry_space_group_name_H-M 'P m -3 m'
_symmetry_Int_Tables_number 221
_symmetry_space_group_name_Hall '-P 4 2 3'
loop_
_atom_site_label
_atom_site_fract_x
_atom_site_fract_y
_atom_site_fract_z
Ca1 0.0000 0.0000 0.5000
Lu1 0.5000 0.5000 0.5000



No. 5
# Ca3Lu, optimized geometry, DFT PBE-GGA
# E_form: 139 meV/atom
# V: 303 Å³ per cell
# Energy above the most stable polymorph in this dataset: 0.00 eV/f.u.
# E: -2.492 eV per atom
# Crystal system: orthorhombic
data_Ca3Lu
_cell_length_a 3.7258
_cell_length_b 12.4311
_cell_length_c 6.5519
_cell_angle_alpha 90.00
_cell_angle_beta 90.00
_cell_angle_gamma 90.00
_symmetry_space_group_name_H-M 'I m m 2'
_symmetry_Int_Tables_number 44
loop_
_symmetry_equiv_pos_as_xyz
'x,y,z'
'-x,-y,z'
'-x,y,z'
'x,-y,z'
'x+1/2,y+1/2,z+1/2'
'-x+1/2,-y+1/2,z+1/2'
'-x+1/2,y+1/2,z+1/2'
'x+1/2,-y+1/2,z+1/2'
loop_
_atom_site_label
_atom_site_fract_x
_atom_site_fract_y
_atom_site_fract_z
Ca1 0.0000 0.0000 0.0000
Ca2 0.0000 0.2444 0.3325
Lu1 0.0000 0.5000 0.9992



No. 6
# Ca3Lu, optimized geometry, DFT PBE-GGA
# E_form: 234 meV/atom
# V: 155 Å³ per cell
# Energy above the most stable polymorph in this dataset: 0.38 eV/f.u.
# E: -2.398 eV per atom
# Crystal system: orthorhombic
data_Ca3Lu
_cell_length_a 3.5077
_cell_length_b 3.6867
_cell_length_c 11.9555
_cell_angle_alpha 90.00
_cell_angle_beta 90.00
_cell_angle_gamma 90.00
_symmetry_space_group_name_H-M 'P m m 2'
_symmetry_Int_Tables_number 25
loop_
_symmetry_equiv_pos_as_xyz
'x,y,z'
'-x,-y,z'
'-x,y,z'
'x,-y,z'
loop_
_atom_site_label
_atom_site_fract_x
_atom_site_fract_y
_atom_site_fract_z
Ca1 0.0000 0.0000 0.0000
Ca2 0.0000 0.5000 0.2758
Ca3 0.5000 0.5000 0.7510
Lu1 0.5000 0.0000 0.4976



No. 7
# CaLu6, optimized geometry, DFT PBE-GGA
# E_form: 1499 meV/atom
# V: 599 Å³ per cell
# E: -2.662 eV per atom
# Crystal system: cubic
data_CaLu6
_cell_length_a 8.4274
_cell_length_b 8.4274
_cell_length_c 8.4274
_cell_angle_alpha 90.00
_cell_angle_beta 90.00
_cell_angle_gamma 90.00
_symmetry_space_group_name_H-M 'I m -3 m'
_symmetry_Int_Tables_number 229
_symmetry_space_group_name_Hall '-I 4 2 3'
loop_
_atom_site_label
_atom_site_fract_x
_atom_site_fract_y
_atom_site_fract_z
Ca1 0.0000 0.0000 0.0000
Lu1 0.0000 0.2500 0.5000



No. 8
# CaLu2Mg, optimized geometry, DFT PBE-GGA
# E_form: 120 meV/atom
# V: 121 Å³ per cell
# Energy above the most stable polymorph in this dataset: 0.23 eV/f.u.
# E: -3.040 eV per atom
# Crystal system: tetragonal
data_CaLu2Mg
_cell_length_a 4.8692
_cell_length_b 4.8692
_cell_length_c 5.1136
_cell_angle_alpha 90.00
_cell_angle_beta 90.00
_cell_angle_gamma 90.00
_symmetry_space_group_name_H-M 'P 4/m m m'
_symmetry_Int_Tables_number 123
_symmetry_space_group_name_Hall '-P 4 2'
loop_
_atom_site_label
_atom_site_fract_x
_atom_site_fract_y
_atom_site_fract_z
Ca1 0.0000 0.0000 0.0000
Lu1 0.0000 0.5000 0.5000
Mg1 0.5000 0.5000 0.0000



No. 9
# CaLu2Mg, optimized geometry, DFT PBE-GGA
# E_form: 230 meV/atom
# V: 374 Å³ per cell
# Energy above the most stable polymorph in this dataset: 0.66 eV/f.u.
# E: -2.930 eV per atom
# Crystal system: trigonal
data_CaLu2Mg
_cell_length_a 3.4716
_cell_length_b 3.4716
_cell_length_c 35.8331
_cell_angle_alpha 90.00
_cell_angle_beta 90.00
_cell_angle_gamma 120.00
_symmetry_space_group_name_H-M 'R -3 m'
_symmetry_Int_Tables_number 166
_symmetry_space_group_name_Hall '-R 3 2"'
loop_
_atom_site_label
_atom_site_fract_x
_atom_site_fract_y
_atom_site_fract_z
Ca1 0.0000 0.0000 0.0000
Lu1 0.0000 0.0000 0.0935
Mg1 0.0000 0.0000 0.5000



No. 10
# CaLu2Mg, optimized geometry, DFT PBE-GGA
# E_form: 130 meV/atom
# V: 472 Å³ per cell
# Energy above the most stable polymorph in this dataset: 0.27 eV/f.u.
# E: -3.029 eV per atom
# Crystal system: cubic
data_CaLu2Mg
_cell_length_a 7.7847
_cell_length_b 7.7847
_cell_length_c 7.7847
_cell_angle_alpha 90.00
_cell_angle_beta 90.00
_cell_angle_gamma 90.00
_symmetry_space_group_name_H-M 'F m -3 m'
_symmetry_Int_Tables_number 225
_symmetry_space_group_name_Hall '-F 4 2 3'
loop_
_atom_site_label
_atom_site_fract_x
_atom_site_fract_y
_atom_site_fract_z
Ca1 0.0000 0.0000 0.0000
Lu1 0.2500 0.2500 0.2500
Mg1 0.0000 0.0000 0.5000



No. 11
# CaLu2Mg, optimized geometry, DFT PBE-GGA
# E_form: 63 meV/atom
# V: 122 Å³ per cell
# Energy above the most stable polymorph in this dataset: 0.00 eV/f.u.
# E: -3.096 eV per atom
# Crystal system: tetragonal
data_CaLu2Mg
_cell_length_a 3.6972
_cell_length_b 3.6972
_cell_length_c 8.9374
_cell_angle_alpha 90.00
_cell_angle_beta 90.00
_cell_angle_gamma 90.00
_symmetry_space_group_name_H-M 'P 4/m m m'
_symmetry_Int_Tables_number 123
_symmetry_space_group_name_Hall '-P 4 2'
loop_
_atom_site_label
_atom_site_fract_x
_atom_site_fract_y
_atom_site_fract_z
Ca1 0.0000 0.0000 0.0000
Lu1 0.5000 0.5000 0.2974
Mg1 0.0000 0.0000 0.5000



No. 12
# CaLuMgPb, optimized geometry, DFT PBE-GGA
# E_form: -236 meV/atom
# V: 445 Å³ per cell
# E: -3.193 eV per atom
# Crystal system: cubic
data_CaLuMgPb
_cell_length_a 7.6353
_cell_length_b 7.6353
_cell_length_c 7.6353
_cell_angle_alpha 90.00
_cell_angle_beta 90.00
_cell_angle_gamma 90.00
_symmetry_space_group_name_H-M 'F -4 3 m'
_symmetry_Int_Tables_number 216
_symmetry_space_group_name_Hall 'F -4 2 3'
loop_
_atom_site_label
_atom_site_fract_x
_atom_site_fract_y
_atom_site_fract_z
Ca1 0.0000 0.0000 0.0000
Lu1 0.0000 0.0000 0.5000
Mg1 0.2500 0.2500 0.2500
Pb1 0.2500 0.2500 0.7500



No. 13
# CaPrLuMg, optimized geometry, DFT PBE-GGA
# E_form: 79 meV/atom
# V: 502 Å³ per cell
# E: -3.146 eV per atom
# Crystal system: cubic
data_CaPrLuMg
_cell_length_a 7.9486
_cell_length_b 7.9486
_cell_length_c 7.9486
_cell_angle_alpha 90.00
_cell_angle_beta 90.00
_cell_angle_gamma 90.00
_symmetry_space_group_name_H-M 'F -4 3 m'
_symmetry_Int_Tables_number 216
_symmetry_space_group_name_Hall 'F -4 2 3'
loop_
_atom_site_label
_atom_site_fract_x
_atom_site_fract_y
_atom_site_fract_z
Ca1 0.0000 0.0000 0.0000
Pr1 0.2500 0.2500 0.2500
Lu1 0.2500 0.2500 0.7500
Mg1 0.0000 0.0000 0.5000



No. 14
# CaLuMgPt, optimized geometry, DFT PBE-GGA
# E_form: -522 meV/atom
# V: 362 Å³ per cell
# E: -4.061 eV per atom
# Crystal system: cubic
data_CaLuMgPt
_cell_length_a 7.1301
_cell_length_b 7.1301
_cell_length_c 7.1301
_cell_angle_alpha 90.00
_cell_angle_beta 90.00
_cell_angle_gamma 90.00
_symmetry_space_group_name_H-M 'F -4 3 m'
_symmetry_Int_Tables_number 216
_symmetry_space_group_name_Hall 'F -4 2 3'
loop_
_atom_site_label
_atom_site_fract_x
_atom_site_fract_y
_atom_site_fract_z
Ca1 0.0000 0.0000 0.0000
Lu1 0.0000 0.0000 0.5000
Mg1 0.2500 0.2500 0.7500
Pt1 0.2500 0.2500 0.2500



No. 15
# SrCaLuMg, optimized geometry, DFT PBE-GGA
# E_form: 152 meV/atom
# V: 559 Å³ per cell
# E: -2.298 eV per atom
# Crystal system: cubic
data_SrCaLuMg
_cell_length_a 8.2378
_cell_length_b 8.2378
_cell_length_c 8.2378
_cell_angle_alpha 90.00
_cell_angle_beta 90.00
_cell_angle_gamma 90.00
_symmetry_space_group_name_H-M 'F -4 3 m'
_symmetry_Int_Tables_number 216
_symmetry_space_group_name_Hall 'F -4 2 3'
loop_
_atom_site_label
_atom_site_fract_x
_atom_site_fract_y
_atom_site_fract_z
Sr1 0.0000 0.0000 0.0000
Ca1 0.2500 0.2500 0.7500
Lu1 0.0000 0.0000 0.5000
Mg1 0.2500 0.2500 0.2500